Sm3Er4In2: optimized geometry, PBE-GGA.

The structure in CIF format:
```
data_Sm3Er4In2
_space_group_name_H-M_alt 'C 1 2/m 1'
_space_group_IT_number 12
_space_group_name_Hall '-C 2y'
_cell_length_a 15.0732
_cell_length_b 4.9317
_cell_length_c 7.6200
_cell_angle_alpha 90.00
_cell_angle_beta 108.80
_cell_angle_gamma 90.00
loop_
_atom_site_label
_atom_site_fract_x
_atom_site_fract_y
_atom_site_fract_z
_atom_site_occupancy
Sm1 0.0000 0.0000 0.0000 1
Sm2 0.1147 0.0000 0.6740 1
Er1 0.0577 0.5000 0.3300 1
Er2 0.2209 0.0000 0.3170 1
In1 0.1602 0.5000 0.0000 1
```

Computed properties:
Formation enthalpy at 0 K: -1.510 eV per formula unit
Energy: -78.8 eV/cell